[1]
{"formula": "ReAsP3", "functional": "PBE-GGA", "state": "relaxed", "ef_ev_per_atom": 1.647, "energy_ev_per_atom": -5.0183, "cell": [[4.524, 0.000, 0.000], [0.000, 4.524, 0.000], [0.000, 0.000, 4.524]], "species": ["Re", "As", "P", "P", "P"], "fractional_positions": [[0.000, 0.000, 0.000], [0.500, 0.500, 0.500], [0.000, 0.500, 0.500], [0.500, 0.000, 0.500], [0.500, 0.500, 0.000]]}

=====

[2]
{"formula": "ReAsP2", "functional": "PBE-GGA", "state": "relaxed", "ef_ev_per_atom": 0.560, "energy_ev_per_atom": -6.4194, "cell": [[3.205, 0.000, 0.000], [0.000, 4.729, 0.000], [0.000, 0.000, 8.242]], "species": ["Re", "Re", "As", "As", "P", "P", "P", "P"], "fractional_positions": [[0.000, 0.000, 0.000], [0.500, 0.500, 0.500], [0.000, 0.500, 0.836], [0.500, 0.000, 0.336], [0.000, 0.000, 0.559], [0.000, 0.500, 0.290], [0.500, 0.000, 0.790], [0.500, 0.500, 0.059]]}

=====

[3]
{"formula": "ReAsP2", "functional": "PBE-GGA", "state": "relaxed", "ef_ev_per_atom": 0.118, "energy_ev_per_atom": -6.8618, "cell": [[3.035, 0.000, 0.000], [-1.517, 2.628, 0.000], [0.000, 0.000, 24.288]], "species": ["Re", "Re", "Re", "As", "As", "As", "P", "P", "P", "P", "P", "P"], "fractional_positions": [[0.000, 0.000, 0.000], [0.333, 0.667, 0.667], [0.667, 0.333, 0.333], [0.000, 0.000, 0.500], [0.333, 0.667, 0.167], [0.667, 0.333, 0.833], [0.000, 0.000, 0.263], [0.000, 0.000, 0.737], [0.333, 0.667, 0.403], [0.333, 0.667, 0.930], [0.667, 0.333, 0.070], [0.667, 0.333, 0.597]]}

=====

[4]
{"formula": "ReAsP", "functional": "PBE-GGA", "state": "relaxed", "ef_ev_per_atom": 0.014, "energy_ev_per_atom": -7.4886, "cell": [[3.173, 0.000, 0.000], [-1.586, 2.748, 0.000], [0.000, 0.000, 5.488]], "species": ["Re", "As", "P"], "fractional_positions": [[0.000, 0.000, 0.000], [0.667, 0.333, 0.333], [0.333, 0.667, 0.714]]}

=====

[5]
{"formula": "Re2AsP", "functional": "PBE-GGA", "state": "relaxed", "ef_ev_per_atom": 0.053, "energy_ev_per_atom": -8.6861, "cell": [[2.918, 0.000, 0.000], [0.000, 2.918, 0.000], [0.000, 0.000, 7.825]], "species": ["Re", "Re", "As", "P"], "fractional_positions": [[0.000, 0.000, 0.000], [0.500, 0.500, 0.232], [0.000, 0.000, 0.452], [0.500, 0.500, 0.823]]}

=====

[6]
{"formula": "ReAsP", "functional": "PBE-GGA", "state": "relaxed", "ef_ev_per_atom": -0.044, "energy_ev_per_atom": -7.5461, "cell": [[6.110, 0.000, 0.000], [-0.032, 6.160, 0.000], [-2.248, -1.968, 5.458]], "species": ["Re", "Re", "Re", "Re", "As", "As", "As", "As", "P", "P", "P", "P"], "fractional_positions": [[0.000, 0.000, 0.000], [0.065, 0.567, 0.703], [0.469, 0.426, 0.881], [0.560, 0.012, 0.579], [0.133, 0.141, 0.482], [0.367, 0.621, 0.508], [0.420, 0.859, 0.097], [0.883, 0.633, 0.050], [0.186, 0.362, 0.056], [0.633, 0.113, 0.002], [0.684, 0.368, 0.570], [0.921, 0.885, 0.577]]}

=====

[7]
{"formula": "Re2AsP", "functional": "PBE-GGA", "state": "relaxed", "ef_ev_per_atom": 0.596, "energy_ev_per_atom": -8.1428, "cell": [[2.976, 0.000, 0.000], [0.000, 3.974, 0.000], [0.000, 0.000, 5.125]], "species": ["Re", "Re", "As", "P"], "fractional_positions": [[0.000, 0.000, 0.000], [0.500, 0.000, 0.500], [0.000, 0.500, 0.500], [0.500, 0.500, 0.000]]}

=====

[8]
{"formula": "Re3AsP", "functional": "PBE-GGA", "state": "relaxed", "ef_ev_per_atom": 1.119, "energy_ev_per_atom": -8.3619, "cell": [[4.424, 0.000, 0.000], [0.000, 4.424, 0.000], [0.000, 0.000, 4.424]], "species": ["Re", "Re", "Re", "As", "P"], "fractional_positions": [[0.000, 0.000, 0.500], [0.000, 0.500, 0.000], [0.500, 0.000, 0.000], [0.500, 0.500, 0.500], [0.000, 0.000, 0.000]]}

=====

The records above give, respectively, density of states at the Fermi level values of 3.07; 4.93; 6.81; 1.94; 3.22; 5.63; 2.59; 4.40 states/eV/cell.